Rb4LaTm3Te8 after structural relaxation. Source: Alexandria via LeMat-Bulk, functional PBE.

Cell: 9.0993 9.0993 25.6402 Å, 90.00 90.00 120.00°
Space group R-3m (No. 166, hexagonal axes)
Asymmetric unit:
Rb  0.0000  0.0000  0.0000 x3
Rb  0.0000  0.5000  0.0000 x9
La  0.0000  0.0000  0.5000 x3
Tm  0.0000  0.5000  0.5000 x9
Te  0.0000  0.0000  0.2318 x6
Te  0.0124  0.5062  0.7666 x18

Computed properties:
**Uncorrected formation energy**: -1.38 eV/atom